The following is a DFT calculation (GGA+U) of NaCoCuF5 after structural relaxation.

abc: 6.390 9.477 7.555
angles: 90.00 109.37 90.00
Space group C2/c (No. 15)
Asymmetric unit:
Na 0.000 0.192 0.250 x4
Co 0.000 0.500 0.000 x4
Cu 0.000 0.152 0.750 x4
F 0.000 0.429 0.250 x4
F 0.016 0.285 0.562 x8
F 0.166 0.005 0.915 x8

Results
DOS(E_F): 0.5 states/eV/cell
theoretical density: 3.70 g cm⁻³
VASP energy: -4.509 eV/atom